No. 1
VASP calculation (PBE) on YSc2P after structural relaxation.

* M_tot: 0.0 μB per formula unit
* ΔE_f: -0.393 eV/atom
* Fermi-level density of states: 1.163 states/eV/atom
* space group: P4/mmm, No. 123
* VASP energy: -26.11 eV for the cell shown

a b c (Å): 4.3234 4.3234 4.4155
angles (deg): 90.00 90.00 90.00
Element x y z (fractional)
Y 0.0000 0.0000 0.0000
Sc 0.0000 0.5000 0.5000
Sc 0.5000 0.0000 0.5000
P 0.5000 0.5000 0.0000

No. 2
VASP calculation (PBE) on YScP3 after structural relaxation.

* M_tot: 0.0 μB per formula unit
* ΔE_f: 0.326 eV/atom
* Fermi-level density of states: 0.965 states/eV/atom
* space group: Pm-3m, No. 221
* VASP energy: -27.40 eV for the cell shown

a b c (Å): 5.1171 5.1171 5.1171
angles (deg): 90.00 90.00 90.00
Element x y z (fractional)
Y 0.0000 0.0000 0.0000
Sc 0.5000 0.5000 0.5000
P 0.0000 0.0000 0.5000
P 0.0000 0.5000 0.0000
P 0.5000 0.0000 0.0000

No. 3
VASP calculation (PBE) on YSc5P6 after structural relaxation.

* M_tot: 0.0 μB per formula unit
* ΔE_f: -1.499 eV/atom
* Fermi-level density of states: 0.145 states/eV/atom
* space group: C2/m, No. 12
* VASP energy: -88.56 eV for the cell shown

a b c (Å): 6.5869 6.5869 6.5859
angles (deg): 99.62 99.62 119.99
Element x y z (fractional)
Y 0.0000 0.0000 0.0000
Sc 0.1645 0.8355 0.5000
Sc 0.3327 0.6673 0.0000
Sc 0.5000 0.5000 0.5000
Sc 0.6673 0.3327 0.0000
Sc 0.8355 0.1645 0.5000
P 0.0854 0.4276 0.2559
P 0.2574 0.2574 0.7455
P 0.4276 0.0854 0.2559
P 0.5724 0.9146 0.7441
P 0.7426 0.7426 0.2545
P 0.9146 0.5724 0.7441

No. 4
VASP calculation (PBE) on YScP after structural relaxation.

* M_tot: 0.0 μB per formula unit
* ΔE_f: -0.860 eV/atom
* Fermi-level density of states: 0.917 states/eV/atom
* space group: F-43m, No. 216
* VASP energy: -20.79 eV for the cell shown

a b c (Å): 4.5535 4.5535 4.5535
angles (deg): 60.00 60.00 60.00
Element x y z (fractional)
Y 0.0000 0.0000 0.0000
Sc 0.5000 0.5000 0.5000
P 0.7500 0.7500 0.7500